Ba2P2RuN6 after structural relaxation. Source: Alexandria, functional PBE-GGA.

Output
- D(E_F) (states/eV/cell) = 3.18
- formation energy from raw total energies (meV per atom) = -332
- symmetry = R-3m
- total magnetization (μB per cell) = 0.00
- crystal system = trigonal

Geometry as POSCAR:
```
Ba2P2RuN6
1.0
-0.8518 -3.3940 -4.4439
-3.6828 -4.2768 0.3727
-5.6876 0.8802 -3.1817
P N Ba Ru
2 6 2 1
direct
0.5987 0.5987 0.2039
0.4013 0.4013 0.7961
0.7291 0.2445 0.7818
0.7555 0.7555 0.2182
0.2445 0.7291 0.7818
0.2709 0.7555 0.2182
0.2445 0.2445 0.7818
0.7555 0.2709 0.2182
0.7848 0.7848 0.6455
0.2152 0.2152 0.3545
0.0000 0.0000 0.0000
```